Record 1
# La3Tb4Ce

A relaxed structure of La3Tb4Ce (GGA-PBE, Alexandria).

Cell lengths 25.7821, 3.4312, 6.1394 Å; angles 90.00, 95.08, 90.00 degrees
With the nearest neighbours (Å) after each atom.
Atoms (fractional coordinates):
La (0.0000, 0.0000, 0.0000)  2 Tb 3.37, 2 La 3.43, 4 Ce 3.52
La (0.1462, 0.0000, 0.2325)  3 Tb 3.23-3.41, 2 La 3.43
La (0.3538, 0.5000, 0.7675)  3 Tb 3.23-3.41, 2 La 3.43
La (0.5000, 0.5000, 0.0000)  2 Tb 3.37, 2 La 3.43, 4 Ce 3.52
La (0.6462, 0.5000, 0.2325)  3 Tb 3.23-3.41, 2 La 3.43
La (0.8538, 0.0000, 0.7675)  3 Tb 3.23-3.41, 2 La 3.43
Tb (0.1059, 0.0000, 0.7158)  3 La 3.23-3.37, 2 Ce 3.39, 4 Tb 3.42-3.43
Tb (0.2211, 0.5000, 0.7389)  1 La 3.41, 6 Tb 3.42-3.81
Tb (0.2789, 0.0000, 0.2611)  1 La 3.41, 6 Tb 3.42-3.81
Tb (0.3941, 0.5000, 0.2842)  3 La 3.23-3.37, 2 Ce 3.39, 4 Tb 3.42-3.43
Tb (0.6059, 0.5000, 0.7158)  3 La 3.23-3.37, 2 Ce 3.39, 4 Tb 3.42-3.43
Tb (0.7211, 0.0000, 0.7389)  1 La 3.41, 6 Tb 3.42-3.81
Tb (0.7789, 0.5000, 0.2611)  1 La 3.41, 6 Tb 3.42-3.81
Tb (0.8941, 0.0000, 0.2842)  3 La 3.23-3.37, 2 Ce 3.39, 4 Tb 3.42-3.43
Ce (0.0000, 0.5000, 0.5000)  4 Tb 3.39, 2 Ce 3.43, 4 La 3.52
Ce (0.5000, 0.0000, 0.5000)  4 Tb 3.39, 2 Ce 3.43, 4 La 3.52

Results
SG: C2/m (12)

=====

Record 2
# La7Tb2Ce2

A relaxed structure of La7Tb2Ce2 (GGA-PBE, Alexandria).

Cell lengths 7.1005, 7.1005, 9.7650 Å; angles 113.47, 113.47, 58.68 degrees
With the nearest neighbours (Å) after each atom.
Atoms (fractional coordinates):
La (0.0000, 0.0000, 0.0000)  12 La 3.71-4.15, 2 Tb 3.82
La (0.0209, 0.5594, 0.1912)  1 Ce 3.00, 1 La 3.21
La (0.4406, 0.9791, 0.8088)  1 Ce 3.00, 1 La 3.21
La (0.4667, 0.4667, 0.8143)  5 La 3.33-3.57, 2 Ce 3.54, 1 Tb 3.67
La (0.5333, 0.5333, 0.1857)  5 La 3.33-3.57, 2 Ce 3.54, 1 Tb 3.67
La (0.5594, 0.0209, 0.1912)  1 Ce 3.00, 1 La 3.21
La (0.9791, 0.4406, 0.8088)  1 Ce 3.00, 1 La 3.21
Tb (0.1984, 0.1984, 0.4361)  4 Ce 3.52-3.74, 6 La 3.61-3.92, 2 Tb 3.72
Tb (0.8016, 0.8016, 0.5639)  4 Ce 3.52-3.74, 6 La 3.61-3.92, 2 Tb 3.72
Ce (0.3081, 0.6919, 0.5000)  1 Ce 2.67
Ce (0.6919, 0.3081, 0.5000)  1 Ce 2.67

Results
SG: C2/m (12)

=====

Record 3
# La12Tb3Ce

A relaxed structure of La12Tb3Ce (GGA-PBE, Alexandria).

Cell lengths 5.2105, 5.2105, 20.8157 Å; angles 90.00, 90.00, 90.00 degrees
With the nearest neighbours (Å) after each atom.
Atoms (fractional coordinates):
La (0.0000, 0.0000, 0.0000)  8 La 3.64, 4 Ce 3.68
La (0.0000, 0.0000, 0.2500)  8 La 3.67-3.73, 4 Tb 3.68
La (0.0000, 0.0000, 0.5000)  4 Tb 3.68, 8 La 3.69
La (0.0000, 0.0000, 0.7500)  8 La 3.67-3.73, 4 Tb 3.68
La (0.0000, 0.5000, 0.1220)  2 Ce 3.64, 8 La 3.64-3.73, 2 Tb 3.72
La (0.0000, 0.5000, 0.3744)  8 La 3.67-3.69, 4 Tb 3.68-3.69
La (0.0000, 0.5000, 0.6256)  8 La 3.67-3.69, 4 Tb 3.68-3.69
La (0.0000, 0.5000, 0.8780)  2 Ce 3.64, 8 La 3.64-3.73, 2 Tb 3.72
La (0.5000, 0.0000, 0.1220)  2 Ce 3.64, 8 La 3.64-3.73, 2 Tb 3.72
La (0.5000, 0.0000, 0.3744)  8 La 3.67-3.69, 4 Tb 3.68-3.69
La (0.5000, 0.0000, 0.6256)  8 La 3.67-3.69, 4 Tb 3.68-3.69
La (0.5000, 0.0000, 0.8780)  2 Ce 3.64, 8 La 3.64-3.73, 2 Tb 3.72
Tb (0.5000, 0.5000, 0.2495)  12 La 3.68-3.72
Tb (0.5000, 0.5000, 0.5000)  12 La 3.68-3.69
Tb (0.5000, 0.5000, 0.7505)  12 La 3.68-3.72
Ce (0.5000, 0.5000, 0.0000)  12 La 3.64-3.68

Results
SG: P4/mmm (123)

=====

Record 4
# La2Tb3Ce

A relaxed structure of La2Tb3Ce (GGA-PBE, Alexandria).

Cell lengths 9.1561, 9.1561, 7.0178 Å; angles 101.17, 101.17, 44.83 degrees
With the nearest neighbours (Å) after each atom.
Atoms (fractional coordinates):
La (0.1653, 0.1818, 0.0839)  2 La 3.51, 6 Tb 3.53-3.72, 2 Ce 3.72-3.80
La (0.1818, 0.1653, 0.5839)  2 La 3.51, 6 Tb 3.53-3.72, 2 Ce 3.72-3.80
La (0.8182, 0.8347, 0.4161)  2 La 3.51, 6 Tb 3.53-3.72, 2 Ce 3.72-3.80
La (0.8347, 0.8182, 0.9161)  2 La 3.51, 6 Tb 3.53-3.72, 2 Ce 3.72-3.80
Tb (0.2216, 0.7784, 0.7500)  3 Ce 3.23-3.51, 4 Tb 3.42-3.46
Tb (0.3591, 0.3712, 0.4310)  2 Ce 3.34-3.39, 4 Tb 3.42-3.51, 4 La 3.53-3.63
Tb (0.3712, 0.3591, 0.9310)  2 Ce 3.34-3.39, 4 Tb 3.42-3.51, 4 La 3.53-3.63
Tb (0.6288, 0.6409, 0.0690)  2 Ce 3.34-3.39, 4 Tb 3.42-3.51, 4 La 3.53-3.63
Tb (0.6409, 0.6288, 0.5690)  2 Ce 3.34-3.39, 4 Tb 3.42-3.51, 4 La 3.53-3.63
Tb (0.7784, 0.2216, 0.2500)  3 Ce 3.23-3.51, 4 Tb 3.42-3.46
Ce (0.2405, 0.7595, 0.2500)  7 Tb 3.23-3.51
Ce (0.7595, 0.2405, 0.7500)  7 Tb 3.23-3.51

Results
SG: C2/c (15)

=====

Record 5
# La4Tb4Ce

A relaxed structure of La4Tb4Ce (GGA-PBE, Alexandria).

Cell lengths 8.1176, 8.1176, 8.1176 Å; angles 95.85, 95.85, 142.75 degrees
With the nearest neighbours (Å) after each atom.
Atoms (fractional coordinates):
La (0.0000, 0.3276, 0.3276)  1 Ce 3.56, 6 Tb 3.62-3.67, 5 La 3.71-3.75
La (0.0000, 0.6724, 0.6724)  1 Ce 3.56, 6 Tb 3.62-3.67, 5 La 3.71-3.75
La (0.3276, 0.0000, 0.3276)  1 Ce 3.56, 6 Tb 3.62-3.67, 5 La 3.71-3.75
La (0.6724, 0.0000, 0.6724)  1 Ce 3.56, 6 Tb 3.62-3.67, 5 La 3.71-3.75
Tb (0.3369, 0.3369, 0.6738)  4 Tb 3.55-3.72, 2 Ce 3.61, 6 La 3.62-3.67
Tb (0.3369, 0.6631, 0.0000)  4 Tb 3.55-3.72, 2 Ce 3.61, 6 La 3.62-3.67
Tb (0.6631, 0.3369, 0.0000)  4 Tb 3.55-3.72, 2 Ce 3.61, 6 La 3.62-3.67
Tb (0.6631, 0.6631, 0.3262)  4 Tb 3.55-3.72, 2 Ce 3.61, 6 La 3.62-3.67
Ce (0.0000, 0.0000, 0.0000)  4 La 3.56, 8 Tb 3.61

Results
SG: I4/mmm (139)

=====

Record 6
# La12Tb6Ce

A relaxed structure of La12Tb6Ce (GGA-PBE, Alexandria).

Cell lengths 9.7256, 9.7256, 9.7256 Å; angles 110.91, 110.91, 110.91 degrees
With the nearest neighbours (Å) after each atom.
Atoms (fractional coordinates):
La (0.0575, 0.3721, 0.5801)  4 Tb 3.64-3.75, 8 La 3.66-3.73
La (0.1027, 0.7403, 0.1555)  1 Ce 3.62, 8 La 3.62-3.73, 3 Tb 3.67-3.78
La (0.1555, 0.1027, 0.7403)  1 Ce 3.62, 8 La 3.62-3.73, 3 Tb 3.67-3.78
La (0.2597, 0.8445, 0.8973)  1 Ce 3.62, 8 La 3.62-3.73, 3 Tb 3.67-3.78
La (0.3721, 0.5801, 0.0575)  4 Tb 3.64-3.75, 8 La 3.66-3.73
La (0.4199, 0.9425, 0.6279)  4 Tb 3.64-3.75, 8 La 3.66-3.73
La (0.5801, 0.0575, 0.3721)  4 Tb 3.64-3.75, 8 La 3.66-3.73
La (0.6279, 0.4199, 0.9425)  4 Tb 3.64-3.75, 8 La 3.66-3.73
La (0.7403, 0.1555, 0.1027)  1 Ce 3.62, 8 La 3.62-3.73, 3 Tb 3.67-3.78
La (0.8445, 0.8973, 0.2597)  1 Ce 3.62, 8 La 3.62-3.73, 3 Tb 3.67-3.78
La (0.8973, 0.2597, 0.8445)  8 La 3.62-3.73, 1 Ce 3.62, 3 Tb 3.67-3.78
La (0.9425, 0.6279, 0.4199)  4 Tb 3.64-3.75, 8 La 3.66-3.73
Tb (0.2137, 0.4694, 0.3161)  4 Tb 3.57-3.65, 1 Ce 3.64, 7 La 3.64-3.78
Tb (0.3161, 0.2137, 0.4694)  4 Tb 3.57-3.65, 1 Ce 3.64, 7 La 3.64-3.78
Tb (0.4694, 0.3161, 0.2137)  4 Tb 3.57-3.65, 1 Ce 3.64, 7 La 3.64-3.78
Tb (0.5306, 0.6839, 0.7863)  4 Tb 3.57-3.65, 1 Ce 3.64, 7 La 3.64-3.78
Tb (0.6839, 0.7863, 0.5306)  4 Tb 3.57-3.65, 1 Ce 3.64, 7 La 3.64-3.78
Tb (0.7863, 0.5306, 0.6839)  4 Tb 3.57-3.65, 1 Ce 3.64, 7 La 3.64-3.78
Ce (0.0000, 0.0000, 0.0000)  6 La 3.62, 6 Tb 3.64

Results
SG: R-3 (148)

=====

Record 7
# LaTbCe

A relaxed structure of LaTbCe (GGA-PBE, Alexandria).

Cell lengths 6.5671, 3.4113, 8.5549 Å; angles 90.00, 90.00, 90.00 degrees
With the nearest neighbours (Å) after each atom.
Atoms (fractional coordinates):
La (0.2500, 0.0000, 0.1577)  2 Ce 3.19, 2 La 3.41
La (0.7500, 0.0000, 0.8423)  2 Ce 3.19, 2 La 3.41
Tb (0.0000, 0.5000, 0.5000)  4 Tb 3.28-3.41, 2 Ce 3.36
Tb (0.5000, 0.5000, 0.5000)  4 Tb 3.28-3.41, 2 Ce 3.36
Ce (0.2500, 0.5000, 0.8426)  2 La 3.19, 2 Tb 3.36, 2 Ce 3.41
Ce (0.7500, 0.5000, 0.1574)  2 La 3.19, 2 Tb 3.36, 2 Ce 3.41

Results
SG: Pmma (51)

=====

Record 8
# La2TbCe

A relaxed structure of La2TbCe (GGA-PBE, Alexandria).

Cell lengths 5.1441, 5.1441, 5.0857 Å; angles 90.00, 90.00, 90.00 degrees
With the nearest neighbours (Å) after each atom.
Atoms (fractional coordinates):
La (0.0000, 0.5000, 0.0000)  4 Tb 3.62, 4 Ce 3.62, 4 La 3.64
La (0.5000, 0.0000, 0.0000)  4 Tb 3.62, 4 Ce 3.62, 4 La 3.64
Tb (0.0000, 0.0000, 0.5000)  8 La 3.62, 4 Ce 3.64
Ce (0.5000, 0.5000, 0.5000)  8 La 3.62, 4 Tb 3.64

Results
SG: P4/mmm (123)

=====

Record 9
# LaTb3Ce

A relaxed structure of LaTb3Ce (GGA-PBE, Alexandria).

Cell lengths 8.7546, 8.7546, 6.7152 Å; angles 99.76, 99.76, 135.10 degrees
With the nearest neighbours (Å) after each atom.
Atoms (fractional coordinates):
La (0.2103, 0.7897, 0.0000)  4 Tb 3.42-3.55, 4 Ce 3.53-3.57, 2 La 3.58
La (0.7897, 0.2103, 0.0000)  4 Tb 3.42-3.55, 4 Ce 3.53-3.57, 2 La 3.58
Tb (0.1567, 0.3551, 0.7444)  3 Tb 3.21-3.54, 2 Ce 3.36-3.48, 2 La 3.42-3.55
Tb (0.2516, 0.2516, 0.2521)  10 Tb 3.51-3.78, 2 La 3.84, 2 Ce 3.90
Tb (0.3551, 0.1567, 0.7444)  3 Tb 3.21-3.54, 2 Ce 3.36-3.48, 2 La 3.42-3.55
Tb (0.6449, 0.8433, 0.2556)  3 Tb 3.21-3.54, 2 Ce 3.36-3.48, 2 La 3.42-3.55
Tb (0.7484, 0.7484, 0.7479)  10 Tb 3.51-3.78, 2 La 3.84, 2 Ce 3.90
Tb (0.8433, 0.6449, 0.2556)  3 Tb 3.21-3.54, 2 Ce 3.36-3.48, 2 La 3.42-3.55
Ce (0.2845, 0.7155, 0.5000)  4 Tb 3.36-3.48, 2 Ce 3.52, 4 La 3.53-3.57
Ce (0.7155, 0.2845, 0.5000)  4 Tb 3.36-3.48, 2 Ce 3.52, 4 La 3.53-3.57

Results
SG: C2/m (12)

=====

Record 10
# La4Tb5Ce

A relaxed structure of La4Tb5Ce (GGA-PBE, Alexandria).

Cell lengths 8.8226, 8.8226, 11.4002 Å; angles 90.66, 90.66, 23.14 degrees
With the nearest neighbours (Å) after each atom.
Atoms (fractional coordinates):
La (0.0308, 0.0308, 0.2430)  4 Tb 3.32-3.47, 2 Ce 3.32, 2 La 3.54
La (0.3368, 0.3368, 0.2511)  4 La 3.54-3.79, 6 Tb 3.64-3.85
La (0.6632, 0.6632, 0.7489)  4 La 3.54-3.79, 6 Tb 3.64-3.85
La (0.9692, 0.9692, 0.7570)  4 Tb 3.32-3.47, 2 Ce 3.32, 2 La 3.54
Tb (0.1707, 0.1707, 0.0454)  2 La 3.32-3.69, 4 Tb 3.43-3.54, 2 Ce 3.47
Tb (0.1729, 0.1729, 0.4492)  2 La 3.38-3.64, 6 Tb 3.39-3.54
Tb (0.5000, 0.5000, 0.5000)  4 La 3.47, 6 Tb 3.53-3.54
Tb (0.8271, 0.8271, 0.5508)  2 La 3.38-3.64, 6 Tb 3.39-3.54
Tb (0.8293, 0.8293, 0.9546)  2 La 3.32-3.69, 4 Tb 3.43-3.54, 2 Ce 3.47
Ce (0.5000, 0.5000, 0.0000)  4 La 3.32, 4 Tb 3.47, 2 Ce 3.54

Results
SG: C2/m (12)

=====

Record 11
# La6Tb4Ce

A relaxed structure of La6Tb4Ce (GGA-PBE, Alexandria).

Cell lengths 5.7400, 5.7400, 26.2950 Å; angles 90.00, 90.00, 117.55 degrees
With the nearest neighbours (Å) after each atom.
Atoms (fractional coordinates):
La (0.0000, 0.0000, 0.0000)  8 Tb 3.31-3.61
La (0.0000, 0.0000, 0.5000)  8 Tb 3.31-3.61
La (0.0529, 0.9471, 0.7500)  2 Tb 3.30, 3 Ce 3.35-3.37, 2 La 3.68
La (0.3003, 0.6997, 0.0998)  6 Tb 3.41-3.74, 1 La 3.80
La (0.3003, 0.6997, 0.4002)  6 Tb 3.41-3.74, 1 La 3.80
La (0.3796, 0.6204, 0.6814)  5 La 3.61-3.87, 4 Tb 3.61-3.70, 3 Ce 3.71-3.86
La (0.3796, 0.6204, 0.8186)  5 La 3.61-3.87, 4 Tb 3.61-3.70, 3 Ce 3.71-3.86
La (0.6204, 0.3796, 0.1814)  5 La 3.61-3.87, 4 Tb 3.61-3.70, 3 Ce 3.71-3.86
La (0.6204, 0.3796, 0.3186)  5 La 3.61-3.87, 4 Tb 3.61-3.70, 3 Ce 3.71-3.86
La (0.6997, 0.3003, 0.5998)  6 Tb 3.41-3.74, 1 La 3.80
La (0.6997, 0.3003, 0.9002)  6 Tb 3.41-3.74, 1 La 3.80
La (0.9471, 0.0529, 0.2500)  2 Tb 3.30, 3 Ce 3.35-3.37, 2 La 3.68
Tb (0.0441, 0.9559, 0.6247)  6 La 3.30-3.62, 1 Tb 3.66
Tb (0.0441, 0.9559, 0.8753)  6 La 3.30-3.62, 1 Tb 3.66
Tb (0.3483, 0.6517, 0.5445)  8 La 3.53-3.82, 2 Tb 3.66-3.79
Tb (0.3483, 0.6517, 0.9555)  8 La 3.53-3.82, 2 Tb 3.66-3.79
Tb (0.6517, 0.3483, 0.0445)  8 La 3.53-3.82, 2 Tb 3.66-3.79
Tb (0.6517, 0.3483, 0.4555)  8 La 3.53-3.82, 2 Tb 3.66-3.79
Tb (0.9559, 0.0441, 0.1247)  6 La 3.30-3.62, 1 Tb 3.66
Tb (0.9559, 0.0441, 0.3753)  6 La 3.30-3.62, 1 Tb 3.66
Ce (0.2902, 0.7098, 0.2500)  5 La 3.35-3.71
Ce (0.7098, 0.2902, 0.7500)  5 La 3.35-3.71

Results
SG: Cmcm (63)

=====

Record 12
# La2Tb6Ce

A relaxed structure of La2Tb6Ce (GGA-PBE, Alexandria).

Cell lengths 9.8788, 9.8788, 3.5408 Å; angles 90.00, 90.00, 120.00 degrees
With the nearest neighbours (Å) after each atom.
Atoms (fractional coordinates):
La (0.3333, 0.6667, 0.2357)  9 Tb 3.42-3.63, 2 La 3.54
La (0.6667, 0.3333, 0.7643)  9 Tb 3.42-3.63, 2 La 3.54
Tb (0.0181, 0.3442, 0.7291)  3 La 3.42-3.63, 1 Ce 3.45, 8 Tb 3.54-3.83
Tb (0.3260, 0.9819, 0.7291)  3 La 3.42-3.63, 1 Ce 3.45, 8 Tb 3.54-3.83
Tb (0.3442, 0.3260, 0.2709)  3 La 3.42-3.63, 1 Ce 3.45, 8 Tb 3.54-3.83
Tb (0.6558, 0.6740, 0.7291)  3 La 3.42-3.63, 1 Ce 3.45, 8 Tb 3.54-3.83
Tb (0.6740, 0.0181, 0.2709)  3 La 3.42-3.63, 1 Ce 3.45, 8 Tb 3.54-3.83
Tb (0.9819, 0.6558, 0.2709)  3 La 3.42-3.63, 1 Ce 3.45, 8 Tb 3.54-3.83
Ce (0.0000, 0.0000, 0.0000)  6 Tb 3.45, 2 Ce 3.54

Results
SG: P-3 (147)

=====

Listing energy of formation for the structures above in their given order: 21.1; 15.0; 2.3; 15.4; 4.8; 3.5; 21.8; 7.4; 8.7; 19.0; 12.4; 11.1 kJ per mole of atoms.
Listing DOS(E_F) for the structures above in their given order: 30.79; 21.05; 28.73; 22.50; 17.60; 39.47; 15.39; 8.83; 21.11; 18.82; 46.92; 20.24 states/eV per cell.
Listing size of the total moment for the structures above in their given order: 1.74; 0.00; 1.21; 1.93; 1.34; 1.66; 1.53; 0.95; 1.54; 0.38; 1.98; 1.90 Bohr magnetons per cell.